## Al2ZnCu5 (GGA-PBE)

Data for a relaxed structure of Al2ZnCu5.

POSCAR file:
```
Al2ZnCu5
1.0
-2.884 2.884 6.064
2.884 -2.884 6.064
2.884 2.884 -6.064
Al Zn Cu
4 2 10
Cartesian
2.884 1.442 -1.529
0.000 1.442 1.503
2.884 1.442 4.561
0.000 1.442 7.593
2.884 1.442 1.516
0.000 1.442 4.548
1.437 0.000 0.000
4.331 0.000 0.000
2.884 -1.442 4.548
1.442 2.878 -3.032
1.442 -0.005 3.032
1.437 2.884 0.000
1.447 0.000 6.064
-1.442 2.889 3.032
1.442 2.889 3.032
0.000 4.326 1.516
```

Summary:
* total energy: -0.132 hartree per atom

## Al2ZnCu5 (GGA-PBE)

Data for a relaxed structure of Al2ZnCu5.

POSCAR file:
```
Al2ZnCu5
1.0
4.149 0.000 0.000
0.000 4.149 0.000
0.000 0.000 5.859
Al Zn Cu
2 1 5
Cartesian
0.000 0.000 0.000
2.075 2.075 2.930
0.000 0.000 2.930
0.000 2.075 1.452
0.000 2.075 4.408
2.075 0.000 1.452
2.075 0.000 4.408
2.075 2.075 0.000
```

Summary:
* total energy: -0.132 hartree per atom

## Al2ZnCu5 (GGA-PBE)

Data for a relaxed structure of Al2ZnCu5.

POSCAR file:
```
Al2ZnCu5
1.0
4.147 0.000 0.000
0.000 4.147 0.000
0.000 0.000 5.866
Al Zn Cu
2 1 5
Cartesian
0.000 0.000 0.000
2.074 2.074 2.933
0.000 0.000 2.933
0.000 2.074 1.459
0.000 2.074 4.407
2.074 0.000 1.459
2.074 0.000 4.407
2.074 2.074 0.000
```

Summary:
* total energy: -0.132 hartree per atom

## Al2ZnCu5 (GGA-PBE)

Data for a relaxed structure of Al2ZnCu5.

POSCAR file:
```
Al2ZnCu5
1.0
4.139 0.000 0.000
0.000 4.139 0.000
0.000 0.000 5.867
Al Zn Cu
2 1 5
Cartesian
0.000 0.000 0.000
2.069 2.069 2.933
0.000 0.000 2.933
0.000 2.069 1.452
0.000 2.069 4.414
2.069 0.000 1.452
2.069 0.000 4.414
2.069 2.069 0.000
```

Summary:
* total energy: -0.132 hartree per atom

## Al2ZnCu (GGA-PBE)

Data for a relaxed structure of Al2ZnCu.

POSCAR file:
```
Al2ZnCu
1.0
0.000 3.116 3.116
3.116 0.000 3.116
3.116 3.116 0.000
Al Zn Cu
2 1 1
Cartesian
0.000 0.000 0.000
1.558 1.558 1.558
3.116 3.116 3.116
4.675 4.675 4.675
```

Summary:
* total energy: -0.111 hartree per atom

## Al2ZnCu5 (GGA-PBE)

Data for a relaxed structure of Al2ZnCu5.

POSCAR file:
```
Al2ZnCu5
1.0
-2.883 2.883 6.065
2.883 -2.883 6.065
2.883 2.883 -6.065
Al Zn Cu
4 2 10
Cartesian
2.883 1.442 -1.523
0.000 1.442 1.509
2.883 1.442 4.555
0.000 1.442 7.588
2.883 1.442 1.516
0.000 1.442 4.549
1.432 0.000 0.000
4.335 0.000 0.000
2.883 -1.442 4.549
1.442 2.874 -3.032
1.442 -0.010 3.032
1.432 2.883 0.000
1.452 0.000 6.065
-1.442 2.893 3.032
1.442 2.893 3.032
0.000 4.325 1.516
```

Summary:
* total energy: -0.132 hartree per atom

## AlZnCu6 (GGA-PBE)

Data for a relaxed structure of AlZnCu6.

POSCAR file:
```
AlZnCu6
1.0
5.181 0.000 0.000
-2.590 4.487 0.000
0.000 0.000 4.240
Al Zn Cu
1 1 6
Cartesian
0.000 0.000 0.000
2.590 1.496 2.120
-1.284 2.250 0.000
0.000 1.499 2.120
-1.292 3.737 2.120
1.284 2.250 0.000
0.000 4.474 0.000
1.292 3.737 2.120
```

Summary:
* total energy: -0.130 hartree per atom

## AlZnCu (GGA-PBE)

Data for a relaxed structure of AlZnCu.

POSCAR file:
```
AlZnCu
1.0
0.000 2.876 2.876
2.876 0.000 2.876
2.876 2.876 0.000
Al Zn Cu
1 1 1
Cartesian
0.000 0.000 0.000
2.876 2.876 2.876
1.438 1.438 1.438
```

Summary:
* total energy: -0.108 hartree per atom

## Zr2AlCu2 (GGA-PBE)

Data for a relaxed structure of Zr2AlCu2.

POSCAR file:
```
Zr2AlCu2
1.0
-2.106 2.106 5.402
2.106 -2.106 5.402
2.106 2.106 -5.402
Zr Al Cu
2 1 2
Cartesian
2.106 0.000 2.701
0.000 2.106 2.701
0.000 0.000 0.000
0.000 0.000 4.315
0.000 0.000 6.489
```

Summary:
* total energy: -0.200 hartree per atom
* total moment: 0.05 Bohr magnetons per cell

## Zr2AlCu (GGA-PBE)

Data for a relaxed structure of Zr2AlCu.

POSCAR file:
```
Zr2AlCu
1.0
0.000 3.355 3.355
3.355 0.000 3.355
3.355 3.355 0.000
Zr Al Cu
2 1 1
Cartesian
0.000 0.000 0.000
1.677 1.677 1.677
3.355 3.355 3.355
5.032 5.032 5.032
```

Summary:
* total energy: -0.219 hartree per atom
* total moment: 2.97 Bohr magnetons per cell

## Zr6Al7Cu16 (GGA-PBE)

Data for a relaxed structure of Zr6Al7Cu16.

POSCAR file:
```
Zr6Al7Cu16
1.0
0.000 5.960 5.960
5.960 0.000 5.960
5.960 5.960 0.000
Zr Al Cu
6 7 16
Cartesian
5.960 5.960 2.437
5.960 2.437 5.960
9.483 5.960 5.960
2.437 5.960 5.960
5.960 9.483 5.960
5.960 5.960 9.483
2.980 2.980 0.000
2.980 0.000 2.980
5.960 2.980 2.980
0.000 2.980 2.980
2.980 5.960 2.980
2.980 2.980 5.960
5.960 5.960 5.960
7.383 4.538 4.538
2.038 2.038 2.038
3.922 3.922 2.038
3.922 2.038 3.922
4.538 4.538 4.538
7.383 7.383 4.538
7.383 4.538 7.383
2.038 3.922 3.922
9.882 7.999 7.999
4.538 7.383 4.538
4.538 4.538 7.383
7.383 7.383 7.383
7.999 9.882 7.999
7.999 7.999 9.882
9.882 9.882 9.882
4.538 7.383 7.383
```

Summary:
* total energy: -0.186 hartree per atom
* total moment: 0.01 Bohr magnetons per cell

## Dy3Al2 (GGA-PBE)

Data for a relaxed structure of Dy3Al2.

POSCAR file:
```
Dy3Al2
1.0
3.171 1.831 8.589
-3.171 1.831 8.589
0.000 -3.662 8.589
Dy Al
6 4
Cartesian
-2.131 -0.029 10.736
-1.041 -1.860 15.031
1.090 -1.831 10.736
-1.090 1.831 15.031
1.041 1.860 10.736
2.131 0.029 15.031
0.000 0.000 4.251
0.000 0.000 8.632
0.000 0.000 17.135
0.000 0.000 21.516
```

Summary:
* E above lowest polymorph: 0.375 eV per atom
* total moment: 0.69 Bohr magnetons per cell

## Dy2Al17 (GGA-PBE)

Data for a relaxed structure of Dy2Al17.

POSCAR file:
```
Dy2Al17
1.0
9.412 0.000 0.000
-4.706 8.151 0.000
0.000 0.000 9.015
Dy Al
4 34
Cartesian
0.000 0.000 2.254
0.000 0.000 6.761
0.000 5.434 2.254
4.706 2.717 6.761
-2.353 4.075 0.000
-2.353 4.075 4.507
-1.366 2.976 6.761
-2.811 5.480 6.761
0.000 2.676 0.216
0.000 2.676 4.291
-2.389 6.813 0.216
-2.389 6.813 4.291
2.317 1.338 4.724
2.317 1.338 8.798
1.366 2.976 6.761
-1.445 7.846 6.761
0.000 5.434 5.426
0.000 5.434 8.096
3.261 0.305 2.254
1.895 2.671 2.254
4.706 0.000 0.000
4.706 0.000 4.507
2.353 4.075 0.000
2.353 4.075 4.507
2.811 5.480 6.761
1.445 7.846 6.761
4.706 2.717 0.919
4.706 2.717 3.589
6.151 0.305 2.254
3.340 5.174 2.254
2.389 6.813 0.216
2.389 6.813 4.291
7.095 1.338 4.724
7.095 1.338 8.798
4.706 5.475 4.724
4.706 5.475 8.798
7.517 2.671 2.254
6.072 5.174 2.254
```

Summary:
* total energy: -0.145 hartree per atom
* total moment: 0.07 Bohr magnetons per cell

## Dy2Al (GGA-PBE)

Data for a relaxed structure of Dy2Al.

POSCAR file:
```
Dy2Al
1.0
0.000 6.402 6.402
6.402 0.000 6.402
6.402 6.402 0.000
Dy Al
4 2
Cartesian
0.000 0.000 0.000
3.201 3.201 0.000
3.201 0.000 3.201
0.000 3.201 3.201
1.601 1.601 1.601
11.204 11.204 11.204
```

Summary:
* total energy: -0.100 hartree per atom
* total moment: 0.01 Bohr magnetons per cell

## DyAl3 (GGA-PBE)

Data for a relaxed structure of DyAl3.

POSCAR file:
```
DyAl3
1.0
3.051 1.761 11.983
-3.051 1.761 11.983
0.000 -3.523 11.983
Dy Al
5 15
Cartesian
0.000 0.000 0.000
0.000 0.000 4.708
0.000 0.000 14.384
0.000 0.000 21.566
0.000 0.000 31.241
-1.525 -0.881 11.983
0.000 -1.583 9.603
-1.371 0.792 9.603
-1.544 -0.891 16.792
0.000 -1.783 19.157
-1.544 0.891 19.157
-1.371 -0.792 26.346
-1.525 0.881 23.966
0.000 1.761 11.983
1.371 0.792 9.603
1.544 -0.891 16.792
0.000 1.783 16.792
1.544 0.891 19.157
1.371 -0.792 26.346
0.000 1.583 26.346
```

Summary:
* total energy: -0.161 hartree per atom
* total moment: 0.01 Bohr magnetons per cell

## Dy3Al2 (GGA-PBE)

Data for a relaxed structure of Dy3Al2.

POSCAR file:
```
Dy3Al2
1.0
8.229 0.000 0.000
0.000 8.229 0.000
0.000 0.000 7.595
Dy Al
12 8
Cartesian
0.000 4.114 1.899
0.000 4.114 5.696
1.232 1.232 0.000
1.660 1.660 3.797
2.454 5.774 0.000
2.883 5.346 3.797
4.114 0.000 1.899
4.114 0.000 5.696
5.346 2.883 3.797
5.774 2.454 0.000
6.568 6.568 3.797
6.997 6.997 0.000
0.980 7.249 2.321
0.980 7.249 5.274
3.135 3.135 1.476
3.135 3.135 6.119
5.094 5.094 1.476
5.094 5.094 6.119
7.249 0.980 2.321
7.249 0.980 5.274
```

Summary:
* E above lowest polymorph: 0.000 eV per atom
* total moment: 0.03 Bohr magnetons per cell

## Dy2Al (GGA-PBE)

Data for a relaxed structure of Dy2Al.

POSCAR file:
```
Dy2Al
1.0
6.552 0.000 0.000
0.000 5.095 0.000
0.000 0.000 9.462
Dy Al
8 4
Cartesian
0.177 1.274 1.985
1.231 1.274 5.423
2.045 3.821 0.692
3.099 3.821 6.716
3.453 1.274 2.746
4.507 1.274 8.770
5.321 3.821 4.039
6.375 3.821 7.477
1.364 1.274 8.490
1.912 3.821 3.758
4.640 1.274 5.704
5.188 3.821 0.973
```

Summary:
* total energy: -0.169 hartree per atom
* total moment: 0.04 Bohr magnetons per cell

## Dy2Al (GGA-PBE)

Data for a relaxed structure of Dy2Al.

POSCAR file:
```
Dy2Al
1.0
0.000 4.354 4.354
4.354 0.000 4.354
4.354 4.354 0.000
Dy Al
4 2
Cartesian
0.000 0.000 0.000
2.177 2.177 0.000
2.177 0.000 2.177
0.000 2.177 2.177
3.265 3.265 3.265
5.442 5.442 5.442
```

Summary:
* total energy: -0.145 hartree per atom
* total moment: 0.00 Bohr magnetons per cell

## DyAl3 (GGA-PBE)

Data for a relaxed structure of DyAl3.

POSCAR file:
```
DyAl3
1.0
4.254 0.000 0.000
0.000 4.254 0.000
0.000 0.000 4.254
Dy Al
1 3
Cartesian
0.000 0.000 0.000
0.000 2.127 2.127
2.127 0.000 2.127
2.127 2.127 0.000
```

Summary:
* total energy: -0.161 hartree per atom
* total moment: 0.00 Bohr magnetons per cell

## DyAl3 (GGA-PBE)

Data for a relaxed structure of DyAl3.

POSCAR file:
```
DyAl3
1.0
0.000 3.422 3.422
3.422 0.000 3.422
3.422 3.422 0.000
Dy Al
1 3
Cartesian
0.000 0.000 0.000
1.711 1.711 1.711
3.422 3.422 3.422
5.132 5.132 5.132
```

Summary:
* total energy: -0.148 hartree per atom
* total moment: 0.00 Bohr magnetons per cell

## DyAl3 (GGA-PBE)

Data for a relaxed structure of DyAl3.

POSCAR file:
```
DyAl3
1.0
6.278 0.000 0.000
-3.139 5.437 0.000
0.000 0.000 4.606
Dy Al
2 6
Cartesian
0.000 3.624 1.152
3.139 1.812 3.455
0.000 1.595 3.455
-1.758 4.639 3.455
1.381 0.797 1.152
1.758 4.639 3.455
4.897 0.797 1.152
3.139 3.842 1.152
```

Summary:
* total energy: -0.161 hartree per atom
* total moment: 0.00 Bohr magnetons per cell